1.
This record from OQMD via LeMat-Bulk describes crystalline CdH17C11NO7 at its relaxed geometry. The functional is PBE.

abc: 5.741 8.126 13.520
angles: 90.00 95.38 90.00
Element x y z (fractional)
Cd (0.029, 0.000, 0.096)
Cd (0.971, 0.500, 0.904)
H (0.000, 0.171, 0.864)
H (0.000, 0.671, 0.136)
H (0.056, 0.345, 0.244)
H (0.093, 0.643, 0.332)
H (0.101, 0.917, 0.323)
H (0.120, 0.163, 0.516)
H (0.132, 0.130, 0.345)
H (0.184, 0.978, 0.756)
H (0.253, 0.727, 0.184)
H (0.275, 0.468, 0.764)
H (0.324, 0.742, 0.679)
H (0.357, 0.360, 0.030)
H (0.382, 0.842, 0.506)
H (0.407, 0.361, 0.643)
H (0.419, 0.217, 0.871)
H (0.452, 0.454, 0.937)
H (0.464, 0.486, 0.337)
H (0.490, 0.551, 0.173)
H (0.510, 0.051, 0.827)
H (0.536, 0.986, 0.663)
H (0.548, 0.954, 0.063)
H (0.581, 0.717, 0.129)
H (0.593, 0.861, 0.357)
H (0.618, 0.342, 0.494)
H (0.643, 0.860, 0.970)
H (0.676, 0.242, 0.321)
H (0.725, 0.968, 0.236)
H (0.747, 0.227, 0.816)
H (0.816, 0.478, 0.244)
H (0.868, 0.630, 0.655)
H (0.880, 0.663, 0.484)
H (0.899, 0.417, 0.677)
H (0.907, 0.143, 0.668)
H (0.944, 0.845, 0.756)
C (0.003, 0.030, 0.335)
C (0.042, 0.592, 0.486)
C (0.127, 0.861, 0.786)
C (0.128, 0.515, 0.574)
C (0.129, 0.877, 0.898)
C (0.161, 0.581, 0.401)
C (0.275, 0.718, 0.755)
C (0.337, 0.425, 0.576)
C (0.369, 0.492, 0.403)
C (0.457, 0.413, 0.491)
C (0.493, 0.209, 0.180)
C (0.507, 0.709, 0.820)
C (0.543, 0.913, 0.509)
C (0.631, 0.992, 0.597)
C (0.663, 0.925, 0.424)
C (0.725, 0.218, 0.245)
C (0.839, 0.081, 0.599)
C (0.871, 0.377, 0.102)
C (0.872, 0.015, 0.426)
C (0.873, 0.361, 0.214)
C (0.958, 0.092, 0.514)
C (0.997, 0.530, 0.665)
N (0.151, 0.560, 0.757)
N (0.849, 0.060, 0.243)
O (0.081, 0.757, 0.181)
O (0.114, 0.022, 0.935)
O (0.146, 0.751, 0.953)
O (0.337, 0.373, 0.956)
O (0.396, 0.344, 0.153)
O (0.409, 0.067, 0.158)
O (0.484, 0.170, 0.812)
O (0.516, 0.670, 0.188)
O (0.591, 0.567, 0.842)
O (0.604, 0.844, 0.847)
O (0.663, 0.873, 0.044)
O (0.854, 0.251, 0.047)
O (0.886, 0.522, 0.065)
O (0.919, 0.257, 0.819)

symmetry = No. 4
final energy = -5.984 eV per atom



2.
This record from OQMD via LeMat-Bulk describes crystalline YZnGaCo at its relaxed geometry. The functional is PBE.

abc: 6.439 6.439 6.439
angles: 90.00 90.00 90.00
Element x y z (fractional)
Y (0.000, 0.000, 0.000)
Y (0.000, 0.500, 0.500)
Y (0.500, 0.000, 0.500)
Y (0.500, 0.500, 0.000)
Zn (0.250, 0.250, 0.250)
Zn (0.250, 0.750, 0.750)
Zn (0.750, 0.250, 0.750)
Zn (0.750, 0.750, 0.250)
Ga (0.000, 0.000, 0.500)
Ga (0.000, 0.500, 0.000)
Ga (0.500, 0.000, 0.000)
Ga (0.500, 0.500, 0.500)
Co (0.250, 0.250, 0.750)
Co (0.250, 0.750, 0.250)
Co (0.750, 0.250, 0.250)
Co (0.750, 0.750, 0.750)

symmetry = No. 216
ΔE to the lowest computed polymorph = 19.0 meV/atom



3.
This record from OQMD via LeMat-Bulk describes crystalline Li3Zn at its relaxed geometry. The functional is PBE.

abc: 4.541 9.494 5.616
angles: 90.00 90.00 90.00
Element x y z (fractional)
Li (0.000, 0.127, 0.250)
Li (0.000, 0.370, 0.004)
Li (0.000, 0.370, 0.496)
Li (0.000, 0.630, 0.504)
Li (0.000, 0.630, 0.996)
Li (0.000, 0.873, 0.750)
Li (0.500, 0.130, 0.504)
Li (0.500, 0.130, 0.996)
Li (0.500, 0.373, 0.750)
Li (0.500, 0.627, 0.250)
Li (0.500, 0.870, 0.004)
Li (0.500, 0.870, 0.496)
Zn (0.000, 0.136, 0.750)
Zn (0.000, 0.864, 0.250)
Zn (0.500, 0.364, 0.250)
Zn (0.500, 0.636, 0.750)

symmetry = No. 63
final energy = -1.783 eV per atom



4.
This record from OQMD via LeMat-Bulk describes crystalline HfCuGePt at its relaxed geometry. The functional is PBE.

abc: 6.389 6.389 6.389
angles: 90.00 90.00 90.00
Element x y z (fractional)
Hf (0.000, 0.000, 0.000)
Hf (0.000, 0.500, 0.500)
Hf (0.500, 0.000, 0.500)
Hf (0.500, 0.500, 0.000)
Cu (0.000, 0.000, 0.500)
Cu (0.000, 0.500, 0.000)
Cu (0.500, 0.000, 0.000)
Cu (0.500, 0.500, 0.500)
Ge (0.250, 0.250, 0.250)
Ge (0.250, 0.750, 0.750)
Ge (0.750, 0.250, 0.750)
Ge (0.750, 0.750, 0.250)
Pt (0.250, 0.250, 0.750)
Pt (0.250, 0.750, 0.250)
Pt (0.750, 0.250, 0.250)
Pt (0.750, 0.750, 0.750)

symmetry = No. 216
final energy = -6.550 eV per atom



5.
This record from OQMD via LeMat-Bulk describes crystalline BeAlCd2 at its relaxed geometry. The functional is PBE.

abc: 6.590 6.590 6.590
angles: 90.00 90.00 90.00
Element x y z (fractional)
Be (0.000, 0.000, 0.000)
Be (0.000, 0.500, 0.500)
Be (0.500, 0.000, 0.500)
Be (0.500, 0.500, 0.000)
Al (0.250, 0.250, 0.750)
Al (0.250, 0.750, 0.250)
Al (0.750, 0.250, 0.250)
Al (0.750, 0.750, 0.750)
Cd (0.000, 0.000, 0.500)
Cd (0.000, 0.500, 0.000)
Cd (0.250, 0.250, 0.250)
Cd (0.250, 0.750, 0.750)
Cd (0.500, 0.000, 0.000)
Cd (0.500, 0.500, 0.500)
Cd (0.750, 0.250, 0.750)
Cd (0.750, 0.750, 0.250)

symmetry = No. 216
final energy = -1.838 eV per atom



6.
This record from OQMD via LeMat-Bulk describes crystalline SmAsN2O at its relaxed geometry. The functional is PBE.

abc: 7.352 5.834 5.658
angles: 90.00 90.00 90.00
Element x y z (fractional)
Sm (0.000, 0.183, 0.000)
Sm (0.000, 0.817, 0.500)
Sm (0.500, 0.195, 0.913)
Sm (0.500, 0.805, 0.413)
As (0.247, 0.334, 0.448)
As (0.247, 0.666, 0.948)
As (0.753, 0.334, 0.448)
As (0.753, 0.666, 0.948)
N (0.000, 0.205, 0.430)
N (0.000, 0.795, 0.930)
N (0.210, 0.404, 0.778)
N (0.210, 0.596, 0.278)
N (0.500, 0.361, 0.534)
N (0.500, 0.639, 0.034)
N (0.790, 0.404, 0.778)
N (0.790, 0.596, 0.278)
O (0.293, 0.098, 0.225)
O (0.293, 0.902, 0.725)
O (0.707, 0.098, 0.225)
O (0.707, 0.902, 0.725)

symmetry = No. 26
final energy = -7.060 eV per atom



7.
This record from OQMD via LeMat-Bulk describes crystalline PrBePd at its relaxed geometry. The functional is PBE.

abc: 6.508 6.508 6.508
angles: 90.00 90.00 90.00
Element x y z (fractional)
Pr (0.000, 0.000, 0.000)
Pr (0.000, 0.500, 0.500)
Pr (0.500, 0.000, 0.500)
Pr (0.500, 0.500, 0.000)
Be (0.000, 0.000, 0.500)
Be (0.000, 0.500, 0.000)
Be (0.500, 0.000, 0.000)
Be (0.500, 0.500, 0.500)
Pd (0.250, 0.250, 0.750)
Pd (0.250, 0.750, 0.250)
Pd (0.750, 0.250, 0.250)
Pd (0.750, 0.750, 0.750)

symmetry = No. 216
ΔE to the lowest computed polymorph = 0.0 meV/atom



8.
This record from OQMD via LeMat-Bulk describes crystalline SmY at its relaxed geometry. The functional is PBE.

abc: 3.657 3.657 5.753
angles: 90.00 90.00 120.00
Element x y z (fractional)
Sm (0.000, 0.000, 0.000)
Y (0.667, 0.333, 0.500)

symmetry = No. 187
ΔE to the lowest computed polymorph = 0.0 meV/atom
formation enthalpy at 0 K = 0.016 eV per atom



9.
This record from OQMD via LeMat-Bulk describes crystalline YZnCuOs at its relaxed geometry. The functional is PBE.

abc: 6.497 6.497 6.497
angles: 90.00 90.00 90.00
Element x y z (fractional)
Y (0.000, 0.000, 0.000)
Y (0.000, 0.500, 0.500)
Y (0.500, 0.000, 0.500)
Y (0.500, 0.500, 0.000)
Zn (0.000, 0.000, 0.500)
Zn (0.000, 0.500, 0.000)
Zn (0.500, 0.000, 0.000)
Zn (0.500, 0.500, 0.500)
Cu (0.250, 0.250, 0.750)
Cu (0.250, 0.750, 0.250)
Cu (0.750, 0.250, 0.250)
Cu (0.750, 0.750, 0.750)
Os (0.250, 0.250, 0.250)
Os (0.250, 0.750, 0.750)
Os (0.750, 0.250, 0.750)
Os (0.750, 0.750, 0.250)

symmetry = No. 216
ΔE to the lowest computed polymorph = 0.0 meV/atom
formation enthalpy at 0 K = 0.108 eV per atom



10.
This record from OQMD via LeMat-Bulk describes crystalline Ho5Zn4Pd at its relaxed geometry. The functional is PBE.

abc: 3.551 3.551 17.479
angles: 90.00 90.00 90.00
Element x y z (fractional)
Ho (0.000, 0.000, 0.000)
Ho (0.000, 0.000, 0.202)
Ho (0.000, 0.000, 0.403)
Ho (0.000, 0.000, 0.597)
Ho (0.000, 0.000, 0.798)
Zn (0.500, 0.500, 0.102)
Zn (0.500, 0.500, 0.301)
Zn (0.500, 0.500, 0.699)
Zn (0.500, 0.500, 0.898)
Pd (0.500, 0.500, 0.500)

symmetry = No. 123
formation enthalpy at 0 K = -0.473 eV per atom



11.
This record from OQMD via LeMat-Bulk describes crystalline Li4MgTlAu2 at its relaxed geometry. The functional is PBE.

abc: 4.599 4.599 6.505
angles: 90.00 90.00 90.00
Element x y z (fractional)
Li (0.000, 0.000, 0.000)
Li (0.000, 0.500, 0.747)
Li (0.500, 0.000, 0.253)
Li (0.500, 0.500, 0.500)
Mg (0.000, 0.000, 0.500)
Tl (0.500, 0.500, 0.000)
Au (0.000, 0.500, 0.274)
Au (0.500, 0.000, 0.726)

symmetry = No. 115
final energy = -2.667 eV per atom



12.
This record from OQMD via LeMat-Bulk describes crystalline NiAgBMo at its relaxed geometry. The functional is PBE.

abc: 5.835 5.835 5.835
angles: 90.00 90.00 90.00
Element x y z (fractional)
Ni (0.000, 0.000, 0.000)
Ni (0.000, 0.500, 0.500)
Ni (0.500, 0.000, 0.500)
Ni (0.500, 0.500, 0.000)
Ag (0.250, 0.250, 0.750)
Ag (0.250, 0.750, 0.250)
Ag (0.750, 0.250, 0.250)
Ag (0.750, 0.750, 0.750)
B (0.000, 0.000, 0.500)
B (0.000, 0.500, 0.000)
B (0.500, 0.000, 0.000)
B (0.500, 0.500, 0.500)
Mo (0.250, 0.250, 0.250)
Mo (0.250, 0.750, 0.750)
Mo (0.750, 0.250, 0.750)
Mo (0.750, 0.750, 0.250)

symmetry = No. 216
ΔE to the lowest computed polymorph = 0.0 meV/atom



13.
This record from OQMD via LeMat-Bulk describes crystalline LaGePPd2 at its relaxed geometry. The functional is PBE.

abc: 4.292 4.292 10.189
angles: 90.00 90.00 90.00
Element x y z (fractional)
La (0.000, 0.000, 0.000)
La (0.500, 0.500, 0.500)
Ge (0.000, 0.000, 0.379)
Ge (0.500, 0.500, 0.879)
P (0.000, 0.000, 0.616)
P (0.500, 0.500, 0.116)
Pd (0.000, 0.500, 0.244)
Pd (0.000, 0.500, 0.744)
Pd (0.500, 0.000, 0.244)
Pd (0.500, 0.000, 0.744)

symmetry = No. 107
final energy = -6.010 eV per atom



14.
This record from OQMD via LeMat-Bulk describes crystalline TlIr3Pb5 at its relaxed geometry. The functional is PBE.

abc: 5.673 5.673 8.279
angles: 90.00 90.00 120.00
Element x y z (fractional)
Tl (0.000, 0.000, 0.000)
Ir (0.000, 0.500, 0.500)
Ir (0.500, 0.000, 0.500)
Ir (0.500, 0.500, 0.500)
Pb (0.000, 0.000, 0.500)
Pb (0.333, 0.667, 0.216)
Pb (0.333, 0.667, 0.784)
Pb (0.667, 0.333, 0.216)
Pb (0.667, 0.333, 0.784)

symmetry = No. 191
final energy = -5.087 eV per atom



15.
This record from OQMD via LeMat-Bulk describes crystalline LuCoBMo at its relaxed geometry. The functional is PBE.

abc: 6.130 6.130 6.130
angles: 90.00 90.00 90.00
Element x y z (fractional)
Lu (0.000, 0.000, 0.000)
Lu (0.000, 0.500, 0.500)
Lu (0.500, 0.000, 0.500)
Lu (0.500, 0.500, 0.000)
Co (0.000, 0.000, 0.500)
Co (0.000, 0.500, 0.000)
Co (0.500, 0.000, 0.000)
Co (0.500, 0.500, 0.500)
B (0.250, 0.250, 0.250)
B (0.250, 0.750, 0.750)
B (0.750, 0.250, 0.750)
B (0.750, 0.750, 0.250)
Mo (0.250, 0.250, 0.750)
Mo (0.250, 0.750, 0.250)
Mo (0.750, 0.250, 0.250)
Mo (0.750, 0.750, 0.750)

symmetry = No. 216
ΔE to the lowest computed polymorph = 90.2 meV/atom



16.
This record from OQMD via LeMat-Bulk describes crystalline KErTe at its relaxed geometry. The functional is PBE.

abc: 7.502 7.502 7.502
angles: 90.00 90.00 90.00
Element x y z (fractional)
K (0.000, 0.000, 0.000)
K (0.000, 0.500, 0.500)
K (0.500, 0.000, 0.500)
K (0.500, 0.500, 0.000)
Er (0.000, 0.000, 0.500)
Er (0.000, 0.500, 0.000)
Er (0.500, 0.000, 0.000)
Er (0.500, 0.500, 0.500)
Te (0.250, 0.250, 0.750)
Te (0.250, 0.750, 0.250)
Te (0.750, 0.250, 0.250)
Te (0.750, 0.750, 0.750)

symmetry = No. 216
ΔE to the lowest computed polymorph = 0.0 meV/atom



17.
This record from OQMD via LeMat-Bulk describes crystalline NbZnPO at its relaxed geometry. The functional is PBE.

abc: 4.058 4.058 8.740
angles: 90.00 90.00 90.00
Element x y z (fractional)
Nb (0.250, 0.750, 0.000)
Nb (0.750, 0.250, 0.000)
Zn (0.250, 0.250, 0.459)
Zn (0.750, 0.750, 0.541)
P (0.250, 0.250, 0.165)
P (0.750, 0.750, 0.835)
O (0.250, 0.750, 0.500)
O (0.750, 0.250, 0.500)

symmetry = No. 129
final energy = -6.037 eV per atom



18.
This record from OQMD via LeMat-Bulk describes crystalline RbYPt at its relaxed geometry. The functional is PBE.

abc: 7.184 7.184 7.184
angles: 90.00 90.00 90.00
Element x y z (fractional)
Rb (0.000, 0.000, 0.000)
Rb (0.000, 0.500, 0.500)
Rb (0.500, 0.000, 0.500)
Rb (0.500, 0.500, 0.000)
Y (0.000, 0.000, 0.500)
Y (0.000, 0.500, 0.000)
Y (0.500, 0.000, 0.000)
Y (0.500, 0.500, 0.500)
Pt (0.250, 0.250, 0.250)
Pt (0.250, 0.750, 0.750)
Pt (0.750, 0.250, 0.750)
Pt (0.750, 0.750, 0.250)

symmetry = No. 216
ΔE to the lowest computed polymorph = 0.0 meV/atom



19.
This record from OQMD via LeMat-Bulk describes crystalline PrYIn2Pt4 at its relaxed geometry. The functional is PBE.

abc: 4.619 4.619 9.227
angles: 90.00 90.00 120.00
Element x y z (fractional)
Pr (0.000, 0.000, 0.000)
Y (0.333, 0.667, 0.500)
In (0.667, 0.333, 0.254)
In (0.667, 0.333, 0.746)
Pt (0.000, 0.000, 0.345)
Pt (0.000, 0.000, 0.655)
Pt (0.333, 0.667, 0.167)
Pt (0.333, 0.667, 0.833)

symmetry = No. 187
final energy = -6.044 eV per atom



20.
This record from OQMD via LeMat-Bulk describes crystalline NaNiAgTe3 at its relaxed geometry. The functional is PBE.

abc: 7.307 7.307 10.972
angles: 90.00 90.00 149.46
Element x y z (fractional)
Na (0.248, 0.752, 0.750)
Na (0.752, 0.248, 0.250)
Ni (0.000, 0.000, 0.000)
Ni (0.000, 0.000, 0.500)
Ag (0.422, 0.578, 0.250)
Ag (0.578, 0.422, 0.750)
Te (0.068, 0.932, 0.250)
Te (0.375, 0.625, 0.011)
Te (0.375, 0.625, 0.489)
Te (0.625, 0.375, 0.511)
Te (0.625, 0.375, 0.989)
Te (0.932, 0.068, 0.750)

symmetry = No. 63
final energy = -3.397 eV per atom



21.
This record from OQMD via LeMat-Bulk describes crystalline NaPdO3 at its relaxed geometry. The functional is PBE.

abc: 5.452 7.547 5.274
angles: 90.00 90.00 90.00
Element x y z (fractional)
Na (0.074, 0.250, 0.022)
Na (0.426, 0.750, 0.522)
Na (0.574, 0.250, 0.478)
Na (0.926, 0.750, 0.978)
Pd (0.000, 0.000, 0.500)
Pd (0.000, 0.500, 0.500)
Pd (0.500, 0.000, 0.000)
Pd (0.500, 0.500, 0.000)
O (0.028, 0.750, 0.379)
O (0.190, 0.559, 0.817)
O (0.190, 0.941, 0.817)
O (0.310, 0.059, 0.317)
O (0.310, 0.441, 0.317)
O (0.472, 0.250, 0.879)
O (0.528, 0.750, 0.121)
O (0.690, 0.559, 0.683)
O (0.690, 0.941, 0.683)
O (0.810, 0.059, 0.183)
O (0.810, 0.441, 0.183)
O (0.972, 0.250, 0.621)

symmetry = No. 62
final energy = -4.799 eV per atom



22.
This record from OQMD via LeMat-Bulk describes crystalline TaGaAs at its relaxed geometry. The functional is PBE.

abc: 6.259 6.259 6.259
angles: 90.00 90.00 90.00
Element x y z (fractional)
Ta (0.000, 0.000, 0.000)
Ta (0.000, 0.500, 0.500)
Ta (0.500, 0.000, 0.500)
Ta (0.500, 0.500, 0.000)
Ga (0.250, 0.250, 0.250)
Ga (0.250, 0.750, 0.750)
Ga (0.750, 0.250, 0.750)
Ga (0.750, 0.750, 0.250)
As (0.250, 0.250, 0.750)
As (0.250, 0.750, 0.250)
As (0.750, 0.250, 0.250)
As (0.750, 0.750, 0.750)

symmetry = No. 216
final energy = -6.134 eV per atom